Model P:
Here is BaSc2W after structural relaxation from Alexandria. Energies are from PBE.

Its space-group type is Cmmm (65). For the total magnetic moment, the calculation gives 0.0 μB/cell.

Structure (POSCAR):
```
BaSc2W
1.0
-4.230 3.363 -1.156
1.357 -2.610 -4.678
-2.092 -2.383 0.723
Ba Sc W
1 2 1
Cartesian
-0.367 -2.496 -1.977
0.000 0.000 0.000
-1.436 0.376 -2.917
-3.161 0.490 -0.217
```


Model Q:
Here is BaSc2W after structural relaxation from Alexandria. Energies are from PBE.

Its space-group type is Pm (6). For the total magnetic moment, the calculation gives 0.0 μB/cell.

Structure (POSCAR):
```
BaSc2W
1.0
4.979 0.000 0.000
0.000 3.188 0.116
0.000 0.997 7.170
Ba Sc W
1 2 1
Cartesian
2.489 2.967 5.228
0.000 0.107 0.685
2.489 1.511 1.976
0.000 1.692 3.041
```


Unit: kJ/mol of atoms. Relative energies: model P 23.5; model Q 0.0.